1.
A relaxed ZrVNF2 crystal. Source: Alexandria, functional GGA+U.

The structure in extended XYZ format:
```
5
Lattice="3.856 0.000 0.000 0.000 3.856 0.000 0.000 0.000 4.347" Properties=species:S:1:pos:R:3 pbc="T T T"
Zr 0.000 0.000 0.000
V 1.928 1.928 2.174
N 1.928 1.928 0.000
F 0.000 1.928 2.174
F 1.928 0.000 2.174
```

Properties
* energy: -33.89 eV/f.u.
* symmetry: P4/mmm (123)
* size of the total moment: 0.758 μB/atom

2.
A relaxed ZrVNF2 crystal. Source: Alexandria, functional GGA+U.

The structure in extended XYZ format:
```
5
Lattice="4.219 0.000 0.000 0.000 4.219 0.000 0.000 0.000 4.276" Properties=species:S:1:pos:R:3 pbc="T T T"
Zr 0.000 0.000 0.000
V 2.109 2.109 2.138
N 0.000 0.000 2.138
F 0.000 2.109 0.000
F 2.109 0.000 0.000
```

Properties
* energy: -34.92 eV/f.u.
* symmetry: P4/mmm (123)
* size of the total moment: 0.793 μB/atom

3.
A relaxed WNF crystal. Source: Alexandria, functional GGA+U.

The structure in extended XYZ format:
```
12
Lattice="4.346 0.000 0.000 0.000 3.073 0.000 0.000 0.000 12.993" Properties=species:S:1:pos:R:3 pbc="T T T"
W 0.889 0.768 0.616
W 1.285 2.305 7.113
W 3.062 0.768 5.880
W 3.458 2.305 12.376
N 0.894 0.768 5.798
N 1.280 2.305 12.294
N 3.067 0.768 0.699
N 3.453 2.305 7.195
F 0.984 2.305 2.104
F 1.189 0.768 8.600
F 3.157 2.305 4.393
F 3.362 0.768 10.889
```

Properties
* energy: -19.90 eV/f.u.
* symmetry: Pnma (62)
* size of the total moment: 0.046 μB/atom

4.
A relaxed WNF3 crystal. Source: Alexandria, functional GGA+U.

The structure in extended XYZ format:
```
5
Lattice="3.967 0.000 0.000 0.000 3.967 0.000 0.000 0.000 3.967" Properties=species:S:1:pos:R:3 pbc="T T T"
W 0.000 0.000 0.000
N 1.984 1.984 1.984
F 0.000 1.984 1.984
F 1.984 0.000 1.984
F 1.984 1.984 0.000
```

Properties
* energy: -16.09 eV/f.u.
* symmetry: Pm-3m (221)
* size of the total moment: 0.108 μB/atom

- Among the records above, which one has the lowest energy?
  number 2

- The highest energy belongs to which entry?
  WNF3

Copy entry 3 word for word.
A relaxed WNF crystal. Source: Alexandria, functional GGA+U.

The structure in extended XYZ format:
```
12
Lattice="4.346 0.000 0.000 0.000 3.073 0.000 0.000 0.000 12.993" Properties=species:S:1:pos:R:3 pbc="T T T"
W 0.889 0.768 0.616
W 1.285 2.305 7.113
W 3.062 0.768 5.880
W 3.458 2.305 12.376
N 0.894 0.768 5.798
N 1.280 2.305 12.294
N 3.067 0.768 0.699
N 3.453 2.305 7.195
F 0.984 2.305 2.104
F 1.189 0.768 8.600
F 3.157 2.305 4.393
F 3.362 0.768 10.889
```

Properties
* energy: -19.90 eV/f.u.
* symmetry: Pnma (62)
* size of the total moment: 0.046 μB/atom